Entry 1:
! LaHgCl2, single point on PBEsol structure, DFT SCAN; values from VASP
&SYSTEM
  ibrav = 0, nat = 4, ntyp = 3
/
ATOMIC_SPECIES
Cl 35.45 Cl.upf
La 138.91 La.upf
Hg 200.59 Hg.upf
CELL_PARAMETERS angstrom
-2.567 -2.887 -1.777
3.388 -2.110 -1.466
-0.273 -0.285 5.947
ATOMIC_POSITIONS crystal
Cl 0.750 0.250 0.500
La 0.250 0.750 0.500
Cl 0.000 0.000 0.000
Hg 0.500 0.500 0.000
! **Uncorrected energy**: -133.23 eV for the cell shown
! **M_tot**: 0.001 μB/atom
! **ρ**: 7.32 g/cm3
! **E_form (uncorrected)**: -1.5019 eV per atom
! **Crystal system**: tetragonal

Entry 2:
! LaHgCl4, single point on PBEsol structure, DFT SCAN; values from VASP
&SYSTEM
  ibrav = 0, nat = 6, ntyp = 3
/
ATOMIC_SPECIES
Cl 35.45 Cl.upf
Hg 200.59 Hg.upf
La 138.91 La.upf
CELL_PARAMETERS angstrom
-3.252 4.010 -2.605
-0.742 -0.156 -5.733
-5.146 -1.440 -2.211
ATOMIC_POSITIONS crystal
Cl 0.375 0.876 0.375
Cl 0.375 0.375 0.876
Cl 0.876 0.375 0.375
Cl 0.375 0.375 0.375
Hg 0.750 0.750 0.750
La 0.000 0.000 0.000
! **Uncorrected energy**: -148.50 eV for the cell shown
! **M_tot**: 0.170 μB/atom
! **ρ**: 5.84 g/cm3
! **E_form (uncorrected)**: -0.8856 eV per atom
! **Crystal system**: cubic

Entry 3:
! La2HgCl, single point on PBEsol structure, DFT SCAN; values from VASP
&SYSTEM
  ibrav = 0, nat = 4, ntyp = 3
/
ATOMIC_SPECIES
Cl 35.45 Cl.upf
La 138.91 La.upf
Hg 200.59 Hg.upf
CELL_PARAMETERS angstrom
4.707 0.000 0.000
2.354 4.884 0.038
2.354 1.323 4.701
ATOMIC_POSITIONS crystal
Cl 0.500 0.000 0.000
La 0.769 0.231 0.231
Hg 0.000 0.500 0.500
La 0.231 0.769 0.769
! **Uncorrected energy**: -166.58 eV for the cell shown
! **M_tot**: 0.000 μB/atom
! **ρ**: 7.91 g/cm3
! **E_form (uncorrected)**: -1.0568 eV per atom
! **Energy above the most stable polymorph in this dataset**: 219 meV per atom
! **Crystal system**: orthorhombic

Entry 4:
! La2HgCl, single point on PBEsol structure, DFT SCAN; values from VASP
&SYSTEM
  ibrav = 0, nat = 4, ntyp = 3
/
ATOMIC_SPECIES
La 138.91 La.upf
Hg 200.59 Hg.upf
Cl 35.45 Cl.upf
CELL_PARAMETERS angstrom
-1.134 -0.258 4.136
3.623 -2.143 0.860
2.891 5.341 1.126
ATOMIC_POSITIONS crystal
La 0.000 0.000 0.875
Hg 0.500 0.500 0.875
La 0.500 0.500 0.375
Cl 0.000 0.000 0.375
! **Uncorrected energy**: -167.46 eV for the cell shown
! **M_tot**: 0.000 μB/atom
! **ρ**: 7.48 g/cm3
! **E_form (uncorrected)**: -1.2759 eV per atom
! **Energy above the most stable polymorph in this dataset**: 0 meV per atom
! **Crystal system**: tetragonal

Entry 5:
! La2HgCl, single point on PBEsol structure, DFT SCAN; values from VASP
&SYSTEM
  ibrav = 0, nat = 4, ntyp = 3
/
ATOMIC_SPECIES
La 138.91 La.upf
Cl 35.45 Cl.upf
Hg 200.59 Hg.upf
CELL_PARAMETERS angstrom
-1.097 -4.146 0.409
0.538 -2.707 -3.308
6.255 -3.765 1.294
ATOMIC_POSITIONS crystal
La 0.741 0.741 0.777
Cl 0.000 0.000 0.000
La 0.259 0.259 0.223
Hg 0.500 0.500 0.500
! **Uncorrected energy**: -167.27 eV for the cell shown
! **M_tot**: 0.000 μB/atom
! **ρ**: 7.60 g/cm3
! **E_form (uncorrected)**: -1.2301 eV per atom
! **Energy above the most stable polymorph in this dataset**: 46 meV per atom
! **Crystal system**: trigonal

Entry 6:
! La2HgCl, single point on PBEsol structure, DFT SCAN; values from VASP
&SYSTEM
  ibrav = 0, nat = 4, ntyp = 3
/
ATOMIC_SPECIES
La 138.91 La.upf
Hg 200.59 Hg.upf
Cl 35.45 Cl.upf
CELL_PARAMETERS angstrom
-0.816 2.191 2.855
1.630 -2.528 2.406
7.115 3.763 -0.868
ATOMIC_POSITIONS crystal
La 0.499 0.000 0.263
Hg 0.000 0.500 0.500
La 0.501 0.000 0.737
Cl 0.500 0.500 0.000
! **Uncorrected energy**: -167.12 eV for the cell shown
! **M_tot**: 0.000 μB/atom
! **ρ**: 7.42 g/cm3
! **E_form (uncorrected)**: -1.1911 eV per atom
! **Energy above the most stable polymorph in this dataset**: 85 meV per atom
! **Crystal system**: monoclinic

Entry 7:
! Li2HgCl, single point on PBEsol structure, DFT SCAN; values from VASP
&SYSTEM
  ibrav = 0, nat = 4, ntyp = 3
/
ATOMIC_SPECIES
Hg 200.59 Hg.upf
Li 6.94 Li.upf
Cl 35.45 Cl.upf
CELL_PARAMETERS angstrom
3.441 0.000 0.000
0.000 4.647 0.000
0.000 0.000 4.647
ATOMIC_POSITIONS crystal
Hg 0.500 0.000 0.000
Li 0.000 0.000 0.500
Cl 0.500 0.500 0.500
Li 0.000 0.500 0.000
! **Uncorrected energy**: -84.35 eV for the cell shown
! **M_tot**: 0.000 μB/atom
! **ρ**: 5.58 g/cm3
! **E_form (uncorrected)**: -0.8571 eV per atom
! **Crystal system**: tetragonal

Entry 8:
! LiHgSCl2, single point on PBEsol structure, DFT SCAN; values from VASP
&SYSTEM
  ibrav = 0, nat = 5, ntyp = 4
/
ATOMIC_SPECIES
Cl 35.45 Cl.upf
Li 6.94 Li.upf
S 32.06 S.upf
Hg 200.59 Hg.upf
CELL_PARAMETERS angstrom
-2.083 -3.722 2.373
3.111 0.911 4.161
-3.616 3.289 1.983
ATOMIC_POSITIONS crystal
Cl 0.000 0.000 0.500
Li 0.500 0.500 0.500
S 0.500 0.000 0.000
Cl 0.000 0.500 0.000
Hg 0.000 0.000 0.000
! **Uncorrected energy**: -98.01 eV for the cell shown
! **M_tot**: 0.117 μB/atom
! **ρ**: 3.80 g/cm3
! **E_form (uncorrected)**: -0.3744 eV per atom
! **Energy above the most stable polymorph in this dataset**: 8 meV per atom
! **Crystal system**: tetragonal

Entry 9:
! LiHgS2Cl, single point on PBEsol structure, DFT SCAN; values from VASP
&SYSTEM
  ibrav = 0, nat = 5, ntyp = 4
/
ATOMIC_SPECIES
Cl 35.45 Cl.upf
S 32.06 S.upf
Hg 200.59 Hg.upf
Li 6.94 Li.upf
CELL_PARAMETERS angstrom
4.888 0.000 0.000
0.000 4.888 0.000
0.000 0.000 5.466
ATOMIC_POSITIONS crystal
Cl 0.000 0.000 0.500
S 0.000 0.500 0.000
Hg 0.000 0.000 0.000
S 0.500 0.000 0.000
Li 0.500 0.500 0.500
! **Uncorrected energy**: -97.69 eV for the cell shown
! **M_tot**: 0.001 μB/atom
! **ρ**: 3.90 g/cm3
! **E_form (uncorrected)**: 0.0200 eV per atom
! **Crystal system**: tetragonal

Entry 10:
! LiHgSCl2, single point on PBEsol structure, DFT SCAN; values from VASP
&SYSTEM
  ibrav = 0, nat = 5, ntyp = 4
/
ATOMIC_SPECIES
Li 6.94 Li.upf
Cl 35.45 Cl.upf
S 32.06 S.upf
Hg 200.59 Hg.upf
CELL_PARAMETERS angstrom
-3.447 3.514 0.076
-2.609 -2.486 -3.354
-2.289 -2.321 3.501
ATOMIC_POSITIONS crystal
Li 0.000 0.000 0.500
Cl 0.500 0.000 0.000
S 0.000 0.000 0.000
Cl 0.000 0.500 0.000
Hg 0.500 0.500 0.500
! **Uncorrected energy**: -98.05 eV for the cell shown
! **M_tot**: 0.000 μB/atom
! **ρ**: 4.45 g/cm3
! **E_form (uncorrected)**: -0.3821 eV per atom
! **Energy above the most stable polymorph in this dataset**: 0 meV per atom
! **Crystal system**: tetragonal

Entry 11:
! Mg2HgCl, single point on PBEsol structure, DFT SCAN; values from VASP
&SYSTEM
  ibrav = 0, nat = 4, ntyp = 3
/
ATOMIC_SPECIES
Mg 24.30 Mg.upf
Hg 200.59 Hg.upf
Cl 35.45 Cl.upf
CELL_PARAMETERS angstrom
-4.942 -0.519 -0.832
-1.857 -4.457 -1.440
-2.821 -2.701 3.183
ATOMIC_POSITIONS crystal
Mg 0.750 0.750 0.750
Hg 0.500 0.500 0.500
Mg 0.250 0.250 0.250
Cl 0.000 0.000 0.000
! **Uncorrected energy**: -87.38 eV for the cell shown
! **M_tot**: 0.000 μB/atom
! **ρ**: 5.23 g/cm3
! **E_form (uncorrected)**: -0.3216 eV per atom
! **Energy above the most stable polymorph in this dataset**: 312 meV per atom
! **Crystal system**: cubic

Entry 12:
! Mg2HgCl, single point on PBEsol structure, DFT SCAN; values from VASP
&SYSTEM
  ibrav = 0, nat = 4, ntyp = 3
/
ATOMIC_SPECIES
Cl 35.45 Cl.upf
Mg 24.30 Mg.upf
Hg 200.59 Hg.upf
CELL_PARAMETERS angstrom
-2.448 1.881 1.305
-2.661 -3.657 0.280
2.097 -1.103 5.525
ATOMIC_POSITIONS crystal
Cl 0.500 0.500 0.000
Mg 0.500 0.000 0.500
Hg 0.000 0.500 0.500
Mg 0.000 0.000 0.000
! **Uncorrected energy**: -87.95 eV for the cell shown
! **M_tot**: 0.000 μB/atom
! **ρ**: 5.18 g/cm3
! **E_form (uncorrected)**: -0.4640 eV per atom
! **Energy above the most stable polymorph in this dataset**: 169 meV per atom
! **Crystal system**: orthorhombic